Entry 1:
TcSF3 after structural relaxation, computed with GGA-PBE.

The calculation puts the energy above the most stable polymorph in this dataset at 0.0 meV per atom. The value obtained for the uncorrected energy is -109.9 eV for the cell shown. Its energy relative to the elements, uncorrected is -7.37 eV per formula unit.

The space group is P2_1/c (No. 14) and the conventional cell measures 6.7542, 5.5601 and 10.5359 Å, with angles of 90.00, 125.48 and 90.00 degrees. The inequivalent atoms are Tc at (0.0111, 0.0217, 0.3882), S at (0.4030, 0.5958, 0.0264), F at (0.0816, 0.2236, 0.0465), F at (0.0865, 0.1954, 0.7982) and F at (0.3304, 0.6212, 0.2569).

=====

Entry 2:
Mg6TiSb after structural relaxation, computed with GGA-PBE.

The calculation puts the energy above the most stable polymorph in this dataset at 0.0 meV per atom. The value obtained for the uncorrected energy is -43.4 eV for the cell shown. Its energy relative to the elements, uncorrected is -0.13 eV per formula unit.

The space group is Amm2 (No. 38) and the conventional cell measures 5.0566, 6.3857 and 10.8315 Å, with angles of 90.00, 90.00 and 90.00 degrees. The inequivalent atoms are Mg at (0.0000, 0.0000, 0.0000), Mg at (0.0000, 0.2419, 0.7446), Mg at (0.5000, 0.0000, 0.8344), Mg at (0.5000, 0.2467, 0.5825), Ti at (0.0000, 0.0000, 0.4931) and Sb at (0.5000, 0.0000, 0.3422).

=====

Question: Number 1 is which compound?
Answer: TcSF3

=====

Question: What is the formula in the second record?
Answer: Mg6TiSb